1.
A plane-wave DFT calculation with meta-GGA SCAN was carried out for a PBEsol-optimized structure of CaCrHg. Values from VASP.

Properties
Calculated total energy ... -95.7 eV/f.u.
SG ... P3m1, No. 156
Formation energy from the elements ... 0.17 eV per atom

Quantum ESPRESSO input file:
```
&SYSTEM
  ibrav = 0, nat = 3, ntyp = 3
/
ATOMIC_SPECIES
Ca 40.08 Ca.upf
Cr 52.00 Cr.upf
Hg 200.59 Hg.upf
ATOMIC_POSITIONS crystal
Ca 0.000 0.000 0.004
Cr 0.333 0.667 0.640
Hg 0.667 0.333 0.356
CELL_PARAMETERS angstrom
-2.420 -2.220 1.242
2.772 -1.234 -1.766
3.488 -0.530 5.847
```

2.
A plane-wave DFT calculation with meta-GGA SCAN was carried out for a PBEsol-optimized structure of RbMgTl2. Values from VASP.

Properties
Calculated total energy ... -170.5 eV/f.u.
SG ... Fm-3m, No. 225
Formation energy from the elements ... -0.02 eV per atom

Quantum ESPRESSO input file:
```
&SYSTEM
  ibrav = 0, nat = 4, ntyp = 3
/
ATOMIC_SPECIES
Rb 85.47 Rb.upf
Tl 204.38 Tl.upf
Mg 24.30 Mg.upf
ATOMIC_POSITIONS crystal
Rb 0.500 0.500 0.500
Tl 0.750 0.750 0.750
Tl 0.250 0.250 0.250
Mg 0.000 0.000 0.000
CELL_PARAMETERS angstrom
-0.663 -4.814 -2.684
0.015 -4.779 2.825
-4.704 -2.886 0.597
```

Copy entry 2 word for word.
A plane-wave DFT calculation with meta-GGA SCAN was carried out for a PBEsol-optimized structure of RbMgTl2. Values from VASP.

Properties
Calculated total energy ... -170.5 eV/f.u.
SG ... Fm-3m, No. 225
Formation energy from the elements ... -0.02 eV per atom

Quantum ESPRESSO input file:
```
&SYSTEM
  ibrav = 0, nat = 4, ntyp = 3
/
ATOMIC_SPECIES
Rb 85.47 Rb.upf
Tl 204.38 Tl.upf
Mg 24.30 Mg.upf
ATOMIC_POSITIONS crystal
Rb 0.500 0.500 0.500
Tl 0.750 0.750 0.750
Tl 0.250 0.250 0.250
Mg 0.000 0.000 0.000
CELL_PARAMETERS angstrom
-0.663 -4.814 -2.684
0.015 -4.779 2.825
-4.704 -2.886 0.597
```

Question: Which value of formation energy from the elements does entry 1 give?
Answer: 0.17 eV per atom

Question: Which formula does entry 1 have?
Answer: CaCrHg

Question: The lowest calculated total energy belongs to which entry?
Answer: RbMgTl2